Compound: TaBiC3
Source: Alexandria
Functional: GGA-PBEsol
Structure: relaxed

Properties
As for the crystal system: cubic. The calculation puts the density of states at the Fermi level at 3.10 states/eV per cell. For the energy relative to the elements, the calculation gives 160.4 kJ per mole of atoms. The calculation puts the total energy at -7.49 eV/atom.

Unit cell a=4.203 b=4.203 c=4.203 alpha=90.00 beta=90.00 gamma=90.00
Atoms (fractional coordinates):
Ta 0.000 0.000 0.000
Bi 0.500 0.500 0.500
C 0.000 0.000 0.500
C 0.000 0.500 0.000
C 0.500 0.000 0.000

---

Compound: Ta2BiC
Source: Alexandria
Functional: GGA-PBEsol
Structure: relaxed

Properties
As for the crystal system: cubic. The calculation puts the density of states at the Fermi level at 1.73 states/eV per cell. For the energy relative to the elements, the calculation gives 122.3 kJ per mole of atoms. The calculation puts the total energy at -8.49 eV/atom.

Unit cell a=4.514 b=4.514 c=4.514 alpha=60.00 beta=60.00 gamma=60.00
Atoms (fractional coordinates):
Ta 0.250 0.250 0.250
Ta 0.750 0.750 0.750
Bi 0.000 0.000 0.000
C 0.500 0.500 0.500

---

Compound: TaBi2C
Source: Alexandria
Functional: GGA-PBEsol
Structure: relaxed

Properties
As for the crystal system: tetragonal. The calculation puts the density of states at the Fermi level at 7.45 states/eV per cell. For the energy relative to the elements, the calculation gives 155.0 kJ per mole of atoms. The calculation puts the total energy at -6.08 eV/atom.

Unit cell a=6.295 b=6.295 c=6.295 alpha=117.74 beta=117.74 gamma=93.96
Atoms (fractional coordinates):
Ta 0.000 0.000 0.000
Ta 0.750 0.250 0.500
Bi 0.194 0.625 0.069
Bi 0.375 0.444 0.569
Bi 0.556 0.125 0.931
Bi 0.875 0.806 0.431
C 0.250 0.750 0.500
C 0.500 0.500 0.000